[1]
# Pm2ErIn

Pm2ErIn after structural relaxation (GGA-PBE, Alexandria).

```
Pm2ErIn
1.0
-2.030 5.121 0.431
-5.321 0.967 -1.132
-3.511 1.245 4.080
Pm In Er
2 1 1
Direct
0.250 0.250 0.250
0.750 0.750 0.750
0.500 0.500 0.500
0.000 0.000 0.000
```

Results
Final energy = -17.42 eV for the cell shown
Volume = 119.3 Å³/f.u.
Formation energy = -0.154 eV per atom

***

[2]
# SmErTl

SmErTl after structural relaxation (GGA-PBE, Alexandria).

```
SmErTl
1.0
3.739 0.000 0.000
0.000 5.275 0.000
0.000 -2.638 4.569
Tl Sm Er
1 1 1
Direct
0.107 0.000 0.000
0.684 0.333 0.667
0.208 0.667 0.333
```

Results
Final energy = -12.11 eV for the cell shown
Volume = 90.1 Å³/f.u.
Formation energy = -0.154 eV per atom

***

[3]
# Ho2MgNi2

Ho2MgNi2 after structural relaxation (GGA-PBE, Alexandria).

```
Ho2MgNi2
1.0
3.596 0.000 0.000
0.000 3.852 -1.095
0.000 0.036 7.449
Ho Mg Ni
2 1 2
Direct
0.500 0.643 0.286
0.500 0.357 0.714
0.000 0.000 0.000
0.000 0.199 0.397
0.000 0.801 0.603
```

Results
Final energy = -24.29 eV for the cell shown
Volume = 103.3 Å³/f.u.
Formation energy = -0.395 eV per atom

***

[4]
# Ac3Pm2Sm4

Ac3Pm2Sm4 after structural relaxation (GGA-PBE, Alexandria).

```
Ac3Pm2Sm4
1.0
5.743 -0.001 0.001
-2.873 8.731 -1.456
0.002 -1.342 7.059
Ac Pm Sm
3 2 4
Direct
0.580 0.161 0.395
0.000 0.000 0.000
0.420 0.839 0.605
0.850 0.699 0.276
0.150 0.301 0.724
0.362 0.724 0.036
0.785 0.569 0.710
0.215 0.431 0.290
0.638 0.276 0.964
```

Results
Final energy = -39.80 eV for the cell shown
Volume = 342.7 Å³/f.u.
Formation energy = 0.101 eV per atom

***

Number 1: M_tot 0.5 Bohr magnetons per cell. Number 2: M_tot 0.0 Bohr magnetons per cell. Number 3: M_tot 0.0 Bohr magnetons per cell. Number 4: M_tot 0.0 Bohr magnetons per cell.